[1]
Entry from Alexandria: a relaxed Tc2HgPb crystal (PBE).

```
4
Lattice="-3.351 -3.862 3.760 1.001 -1.104 6.169 -1.296 3.885 -4.849" Properties=species:S:1:pos:R:3 pbc="T T T"
Hg -1.184 -2.502 5.004
Tc -3.049 -1.521 2.519
Tc -2.277 -4.811 9.620
Pb -0.662 0.304 2.833
```

Fermi-level density of states = 3.03 states/eV/cell
energy above the most stable polymorph in this dataset = 377.4 meV per atom
energy relative to the elements = 2.61 eV per formula unit
ρ = 11.97 g/cm³


[2]
Entry from Alexandria: a relaxed Pm4NdGe4 crystal (PBE).

```
18
Lattice="-0.600 5.802 -1.457 -6.583 0.943 6.464 6.467 2.241 6.258" Properties=species:S:1:pos:R:3 pbc="T T T"
Ge 3.316 7.295 5.966
Ge -3.058 5.191 6.435
Ge -1.227 3.035 3.279
Ge -1.134 3.172 10.005
Ge 2.192 5.240 4.468
Ge -4.483 6.046 4.205
Ge 0.660 4.504 8.350
Ge 0.869 1.457 2.354
Pm 2.459 2.171 4.726
Pm -1.924 5.990 9.337
Pm 1.067 4.353 1.588
Pm -2.025 5.941 2.588
Pm -4.225 3.064 4.442
Pm 0.850 7.488 7.561
Pm -2.715 2.371 7.655
Pm 3.650 4.563 7.165
Nd 0.000 0.000 0.000
Nd -0.358 4.492 5.633
```

Fermi-level density of states = 20.45 states/eV/cell
energy relative to the elements = -5.14 eV per formula unit
ρ = 6.52 g/cm³


[3]
Entry from Alexandria: a relaxed Pr2YEr7 crystal (PBE).

```
10
Lattice="-3.314 1.154 -0.195 -4.786 -12.813 5.517 4.797 13.919 0.864" Properties=species:S:1:pos:R:3 pbc="T T T"
Er -3.028 -7.906 4.663
Er -1.651 1.131 3.094
Er -0.720 3.455 1.017
Er 3.038 9.013 1.718
Er -2.583 -1.194 5.170
Er -2.589 -1.757 1.924
Er -0.714 4.018 4.263
Y 0.000 0.000 0.000
Pr 0.344 6.695 2.125
Pr -3.646 -4.434 4.062
```

Fermi-level density of states = 14.84 states/eV/cell
energy above the most stable polymorph in this dataset = 130.4 meV per atom
energy relative to the elements = 1.54 eV per formula unit
ρ = 7.82 g/cm³